*P*
# TiCrNi6

A relaxed structure of TiCrNi6 (PBE, Alexandria).

**Density of states at the Fermi level**: 9.997 states/eV/f.u.
**Magnetization**: 3.29 μB per cell
**SG**: Amm2, No. 38

Lattice parameters (Å, degrees): 3.5948 5.0846 5.0846 88.99 90.00 90.00
Fractional coordinates of all 8 atoms:
Ti 0.0000 0.0000 0.0000
Cr 0.5000 0.7139 0.7139
Ni 0.0000 0.4833 0.4833
Ni 0.0000 0.4937 0.9819
Ni 0.0000 0.9819 0.4937
Ni 0.5000 0.2289 0.7326
Ni 0.5000 0.2389 0.2389
Ni 0.5000 0.7326 0.2289

=====

*Q*
# TiCrNi6

A relaxed structure of TiCrNi6 (PBE, Alexandria).

**Density of states at the Fermi level**: 8.355 states/eV/f.u.
**Magnetization**: 1.55 μB per cell
**SG**: C2/m, No. 12

Lattice parameters (Å, degrees): 4.3028 4.3028 6.4443 105.29 105.29 65.98
Fractional coordinates of all 8 atoms:
Ti 0.0000 0.0000 0.0000
Cr 0.5000 0.5000 0.5000
Ni 0.0433 0.5587 0.2008
Ni 0.1444 0.1444 0.4401
Ni 0.4413 0.9567 0.7992
Ni 0.5587 0.0433 0.2008
Ni 0.8556 0.8556 0.5599
Ni 0.9567 0.4413 0.7992

=====

It is *P* that is the most stable of them.

=====

*P*
# Ti3CrNi

A relaxed structure of Ti3CrNi (PBE, Alexandria).

**Density of states at the Fermi level**: 9.514 states/eV/f.u.
**Magnetization**: 0.00 μB per cell
**SG**: Pm-3m, No. 221

Lattice parameters (Å, degrees): 4.4278 4.4278 4.4278 90.00 90.00 90.00
Fractional coordinates of all 5 atoms:
Ti 0.0000 0.0000 0.5000
Ti 0.0000 0.5000 0.0000
Ti 0.5000 0.0000 0.0000
Cr 0.0000 0.0000 0.0000
Ni 0.5000 0.5000 0.5000

=====

*Q*
# Ti3CrNi

A relaxed structure of Ti3CrNi (PBE, Alexandria).

**Density of states at the Fermi level**: 7.972 states/eV/f.u.
**Magnetization**: 2.62 μB per cell
**SG**: Pm-3m, No. 221

Lattice parameters (Å, degrees): 4.5333 4.5333 4.5333 90.00 90.00 90.00
Fractional coordinates of all 5 atoms:
Ti 0.0000 0.0000 0.5000
Ti 0.0000 0.5000 0.0000
Ti 0.5000 0.0000 0.0000
Cr 0.5000 0.5000 0.5000
Ni 0.0000 0.0000 0.0000

=====

It is *Q* that is the most stable of them.

=====

*P*
# TlCr2Ni

A relaxed structure of TlCr2Ni (PBE, Alexandria).

**Density of states at the Fermi level**: 2.082 states/eV/f.u.
**Magnetization**: 0.20 μB per cell
**SG**: I-4m2, No. 119

Lattice parameters (Å, degrees): 4.8000 4.8000 4.8000 131.31 131.31 71.32
Fractional coordinates of all 4 atoms:
Tl 0.0000 0.0000 0.0000
Cr 0.2500 0.7500 0.5000
Cr 0.5000 0.5000 0.0000
Ni 0.7500 0.2500 0.5000

=====

*Q*
# TlCr2Ni

A relaxed structure of TlCr2Ni (PBE, Alexandria).

**Density of states at the Fermi level**: 2.764 states/eV/f.u.
**Magnetization**: 0.26 μB per cell
**SG**: P4mm, No. 99

Lattice parameters (Å, degrees): 3.0950 3.0950 6.2746 90.00 90.00 90.00
Fractional coordinates of all 4 atoms:
Tl 0.0000 0.0000 0.0000
Cr 0.0000 0.0000 0.5068
Cr 0.5000 0.5000 0.3191
Ni 0.5000 0.5000 0.7354

=====

*R*
# TlCr2Ni

A relaxed structure of TlCr2Ni (PBE, Alexandria).

**Density of states at the Fermi level**: 4.550 states/eV/f.u.
**Magnetization**: 7.56 μB per cell
**SG**: Fm-3m, No. 225

Lattice parameters (Å, degrees): 4.5032 4.5032 4.5032 60.00 60.00 60.00
Fractional coordinates of all 4 atoms:
Tl 0.0000 0.0000 0.0000
Cr 0.2500 0.2500 0.2500
Cr 0.7500 0.7500 0.7500
Ni 0.5000 0.5000 0.5000

=====

It is *Q* that is the most stable of them.

=====

*P*
# TlCrNi2

A relaxed structure of TlCrNi2 (PBE, Alexandria).

**Density of states at the Fermi level**: 4.977 states/eV/f.u.
**Magnetization**: 2.86 μB per cell
**SG**: C2/m, No. 12

Lattice parameters (Å, degrees): 4.4262 4.4262 4.8298 102.27 102.27 40.19
Fractional coordinates of all 4 atoms:
Tl 0.0000 0.0000 0.0000
Cr 0.5000 0.5000 0.5000
Ni 0.2385 0.2385 0.7009
Ni 0.7615 0.7615 0.2991

=====

*Q*
# TlCrNi2

A relaxed structure of TlCrNi2 (PBE, Alexandria).

**Density of states at the Fermi level**: 2.807 states/eV/f.u.
**Magnetization**: 2.86 μB per cell
**SG**: P4mm, No. 99

Lattice parameters (Å, degrees): 3.1640 3.1640 5.8688 90.00 90.00 90.00
Fractional coordinates of all 4 atoms:
Tl 0.0000 0.0000 0.0000
Cr 0.5000 0.5000 0.3231
Ni 0.0000 0.0000 0.5135
Ni 0.5000 0.5000 0.7335

=====

It is *Q* that is the most stable of them.

=====

*P*
# VCrNi4

A relaxed structure of VCrNi4 (PBE, Alexandria).

**Density of states at the Fermi level**: 7.797 states/eV/f.u.
**Magnetization**: 0.00 μB per cell
**SG**: P4/mmm, No. 123

Lattice parameters (Å, degrees): 2.4930 2.4930 10.8672 90.00 90.00 90.00
Fractional coordinates of all 6 atoms:
V 0.0000 0.0000 0.0000
Cr 0.5000 0.5000 0.5000
Ni 0.0000 0.0000 0.3366
Ni 0.0000 0.0000 0.6634
Ni 0.5000 0.5000 0.1703
Ni 0.5000 0.5000 0.8297

=====

*Q*
# VCrNi4

A relaxed structure of VCrNi4 (PBE, Alexandria).

**Density of states at the Fermi level**: 5.339 states/eV/f.u.
**Magnetization**: 0.47 μB per cell
**SG**: C2/c, No. 15

Lattice parameters (Å, degrees): 7.4218 7.4218 4.7252 99.26 99.26 142.05
Fractional coordinates of all 12 atoms:
V 0.1249 0.8751 0.7500
V 0.8751 0.1249 0.2500
Cr 0.3749 0.6251 0.2500
Cr 0.6251 0.3749 0.7500
Ni 0.0366 0.4677 0.7555
Ni 0.2195 0.2884 0.7567
Ni 0.2884 0.2195 0.2567
Ni 0.4677 0.0366 0.2555
Ni 0.5323 0.9634 0.7445
Ni 0.7116 0.7805 0.7433
Ni 0.7805 0.7116 0.2433
Ni 0.9634 0.5323 0.2445

=====

It is *P* that is the most stable of them.

=====

*P*
# VCrNi

A relaxed structure of VCrNi (PBE, Alexandria).

**Density of states at the Fermi level**: 3.391 states/eV/f.u.
**Magnetization**: 0.00 μB per cell
**SG**: C2/m, No. 12

Lattice parameters (Å, degrees): 4.7419 4.7419 5.0777 120.79 120.79 49.09
Fractional coordinates of all 6 atoms:
V 0.0000 0.0000 0.0000
V 0.0000 0.0000 0.5000
Cr 0.3159 0.3159 0.6617
Cr 0.6841 0.6841 0.3383
Ni 0.3400 0.3400 0.1686
Ni 0.6600 0.6600 0.8314

=====

*Q*
# VCrNi

A relaxed structure of VCrNi (PBE, Alexandria).

**Density of states at the Fermi level**: 3.121 states/eV/f.u.
**Magnetization**: 0.00 μB per cell
**SG**: C2/m, No. 12

Lattice parameters (Å, degrees): 4.6264 4.6264 5.0240 116.92 116.92 50.04
Fractional coordinates of all 6 atoms:
V 0.1775 0.1775 0.3205
V 0.8225 0.8225 0.6795
Cr 0.5000 0.5000 0.0000
Cr 0.5000 0.5000 0.5000
Ni 0.1626 0.1626 0.8312
Ni 0.8374 0.8374 0.1688

=====

*R*
# VCrNi

A relaxed structure of VCrNi (PBE, Alexandria).

**Density of states at the Fermi level**: 4.086 states/eV/f.u.
**Magnetization**: 0.00 μB per cell
**SG**: P1, No. 1

Lattice parameters (Å, degrees): 4.2384 4.6575 4.6990 64.27 64.78 64.34
Fractional coordinates of all 6 atoms:
V 0.0000 0.0000 0.0000
V 0.3305 0.3343 0.9899
Cr 0.2870 0.8441 0.5025
Cr 0.6247 0.1431 0.4949
Ni 0.6862 0.6542 0.0171
Ni 0.9291 0.5006 0.5010

=====

It is *P* that is the most stable of them.

=====

*P*
# VCrNi

A relaxed structure of VCrNi (PBE, Alexandria).

**Density of states at the Fermi level**: 3.795 states/eV/f.u.
**Magnetization**: 2.19 μB per cell
**SG**: I4mm, No. 107

Lattice parameters (Å, degrees): 4.7039 4.7039 4.7039 143.26 143.26 52.93
Fractional coordinates of all 3 atoms:
V 0.0000 0.0000 0.0000
Cr 0.3416 0.3416 0.0000
Ni 0.6674 0.6674 0.0000

=====

*Q*
# VCrNi

A relaxed structure of VCrNi (PBE, Alexandria).

**Density of states at the Fermi level**: 2.833 states/eV/f.u.
**Magnetization**: 0.00 μB per cell
**SG**: Pm, No. 6

Lattice parameters (Å, degrees): 2.4657 4.1039 7.0401 90.00 94.83 90.00
Fractional coordinates of all 6 atoms:
V 0.0000 0.0000 0.0000
V 0.3359 0.5000 0.2012
Cr 0.6876 0.0000 0.3546
Cr 0.9837 0.5000 0.5424
Ni 0.4130 0.0000 0.6730
Ni 0.5643 0.5000 0.8637

=====

*R*
# VCrNi

A relaxed structure of VCrNi (PBE, Alexandria).

**Density of states at the Fermi level**: 3.208 states/eV/f.u.
**Magnetization**: 0.00 μB per cell
**SG**: Cm, No. 8

Lattice parameters (Å, degrees): 4.7855 4.7855 5.0486 121.77 121.77 49.16
Fractional coordinates of all 6 atoms:
V 0.0000 0.0000 0.0000
V 0.6716 0.6716 0.5248
Cr 0.3559 0.3559 0.0641
Cr 0.6797 0.6797 0.0315
Ni 0.0149 0.0149 0.5326
Ni 0.3371 0.3371 0.5275

=====

It is *Q* that is the most stable of them.

=====

*P*
# VCrNi

A relaxed structure of VCrNi (PBE, Alexandria).

**Density of states at the Fermi level**: 3.461 states/eV/f.u.
**Magnetization**: 1.20 μB per cell
**SG**: P3m1, No. 156

Lattice parameters (Å, degrees): 4.0494 4.0494 5.0315 90.00 90.00 120.00
Fractional coordinates of all 6 atoms:
V 0.0000 0.0000 0.0000
V 0.3333 0.6667 0.6482
Cr 0.0000 0.0000 0.5058
Cr 0.6667 0.3333 0.8335
Ni 0.3333 0.6667 0.1435
Ni 0.6667 0.3333 0.3342

=====

*Q*
# VCrNi

A relaxed structure of VCrNi (PBE, Alexandria).

**Density of states at the Fermi level**: 3.600 states/eV/f.u.
**Magnetization**: 0.00 μB per cell
**SG**: P1, No. 1

Lattice parameters (Å, degrees): 2.4539 4.7861 6.3676 77.42 79.45 80.82
Fractional coordinates of all 6 atoms:
V 0.0000 0.0000 0.0000
V 0.1330 0.1904 0.3546
Cr 0.2850 0.4028 0.6810
Cr 0.6384 0.6904 0.3452
Ni 0.5410 0.5010 0.0188
Ni 0.6856 0.8741 0.6763

=====

It is *P* that is the most stable of them.

=====

*P*
# VCrNi

A relaxed structure of VCrNi (PBE, Alexandria).

**Density of states at the Fermi level**: 2.060 states/eV/f.u.
**Magnetization**: 0.00 μB per cell
**SG**: P3m1, No. 156

Lattice parameters (Å, degrees): 4.2074 4.2074 2.3547 90.00 90.00 120.00
Fractional coordinates of all 3 atoms:
V 0.0000 0.0000 0.0000
Cr 0.6667 0.3333 0.5125
Ni 0.3333 0.6667 0.4942

=====

*Q*
# VCrNi

A relaxed structure of VCrNi (PBE, Alexandria).

**Density of states at the Fermi level**: 3.760 states/eV/f.u.
**Magnetization**: 0.00 μB per cell
**SG**: C2/m, No. 12

Lattice parameters (Å, degrees): 3.4734 3.4734 6.1592 97.05 97.05 88.43
Fractional coordinates of all 6 atoms:
V 0.1040 0.1040 0.3345
V 0.8960 0.8960 0.6655
Cr 0.0000 0.5000 0.0000
Cr 0.5000 0.0000 0.0000
Ni 0.4176 0.4176 0.6835
Ni 0.5824 0.5824 0.3165

=====

It is *P* that is the most stable of them.

=====

*P*
# VCrNi5

A relaxed structure of VCrNi5 (PBE, Alexandria).

**Density of states at the Fermi level**: 7.669 states/eV/f.u.
**Magnetization**: 1.97 μB per cell
**SG**: P4/mmm, No. 123

Lattice parameters (Å, degrees): 3.4852 3.4852 7.0247 90.00 90.00 90.00
Fractional coordinates of all 7 atoms:
V 0.0000 0.0000 0.0000
Cr 0.5000 0.5000 0.5000
Ni 0.0000 0.5000 0.2575
Ni 0.0000 0.5000 0.7425
Ni 0.5000 0.0000 0.2575
Ni 0.5000 0.0000 0.7425
Ni 0.5000 0.5000 0.0000

=====

*Q*
# VCrNi5

A relaxed structure of VCrNi5 (PBE, Alexandria).

**Density of states at the Fermi level**: 7.857 states/eV/f.u.
**Magnetization**: 4.07 μB per cell
**SG**: C2/c, No. 15

Lattice parameters (Å, degrees): 6.2207 6.2207 4.6031 96.48 96.48 66.26
Fractional coordinates of all 14 atoms:
V 0.2468 0.7532 0.7500
V 0.7532 0.2468 0.2500
Cr 0.0000 0.5000 0.0000
Cr 0.5000 0.0000 0.5000
Ni 0.0953 0.2838 0.5058
Ni 0.1121 0.8879 0.2500
Ni 0.2838 0.0953 0.0058
Ni 0.3406 0.4503 0.3449
Ni 0.4503 0.3406 0.8449
Ni 0.5497 0.6594 0.1551
Ni 0.6594 0.5497 0.6551
Ni 0.7162 0.9047 0.9942
Ni 0.8879 0.1121 0.7500
Ni 0.9047 0.7162 0.4942

=====

It is *Q* that is the most stable of them.

=====

*P*
# VCr2Ni2

A relaxed structure of VCr2Ni2 (PBE, Alexandria).

**Density of states at the Fermi level**: 5.385 states/eV/f.u.
**Magnetization**: 0.00 μB per cell
**SG**: P4/mbm, No. 127

Lattice parameters (Å, degrees): 6.9783 6.9783 2.4614 90.00 90.00 90.00
Fractional coordinates of all 10 atoms:
V 0.0000 0.0000 0.0000
V 0.5000 0.5000 0.0000
Cr 0.1173 0.3827 0.0000
Cr 0.3827 0.8827 0.0000
Cr 0.6173 0.1173 0.0000
Cr 0.8827 0.6173 0.0000
Ni 0.1782 0.6782 0.5000
Ni 0.3218 0.1782 0.5000
Ni 0.6782 0.8218 0.5000
Ni 0.8218 0.3218 0.5000

=====

*Q*
# VCr2Ni2

A relaxed structure of VCr2Ni2 (PBE, Alexandria).

**Density of states at the Fermi level**: 5.750 states/eV/f.u.
**Magnetization**: 0.00 μB per cell
**SG**: P4/mbm, No. 127

Lattice parameters (Å, degrees): 6.9890 6.9890 2.4456 90.00 90.00 90.00
Fractional coordinates of all 10 atoms:
V 0.0000 0.0000 0.0000
V 0.5000 0.5000 0.0000
Cr 0.1756 0.3244 0.5000
Cr 0.3244 0.8244 0.5000
Cr 0.6756 0.1756 0.5000
Cr 0.8244 0.6756 0.5000
Ni 0.1213 0.6213 0.0000
Ni 0.3787 0.1213 0.0000
Ni 0.6213 0.8787 0.0000
Ni 0.8787 0.3787 0.0000

=====

It is *Q* that is the most stable of them.